The following is a PBE calculation of crystalline Tm5BTe4 at its relaxed geometry, from the Open Quantum Materials Database.

Structure (POSCAR):
```
Tm5BTe4
1.0
-4.7275 4.7275 2.9694
4.7275 -4.7275 2.9694
4.7275 4.7275 -2.9694
B Te Tm
1 4 5
Cartesian
0.0000 0.0000 5.8286 B
2.9276 -0.8192 2.9578 Te
0.8192 2.9276 2.9578 Te
3.9083 1.7999 -0.0115 Te
1.7999 5.5467 -0.0115 Te
0.0000 0.0000 3.1202 Tm
-2.3736 3.8621 2.9554 Tm
0.8654 2.3539 -0.0139 Tm
3.8621 2.3736 2.9554 Tm
7.1010 0.8654 -0.0139 Tm
```

Calculated values
* SG: I4 (79)
* VASP energy: -52.39 eV per cell

The following is a PBE calculation of crystalline HoScGa4Pt2 at its relaxed geometry, from the Open Quantum Materials Database.

Structure (POSCAR):
```
HoScGa4Pt2
1.0
6.6674 0.0000 0.0000
0.0000 2.1494 4.9901
0.0000 -2.1494 4.9901
Ga Ho Pt Sc
4 1 2 1
Cartesian
1.3579 0.0000 3.7146 Ga
5.3095 0.0000 3.7146 Ga
2.0266 0.0000 6.2897 Ga
4.6407 0.0000 6.2897 Ga
0.0000 0.0000 0.8211 Ho
3.3337 0.0000 2.0282 Pt
0.0000 0.0000 7.9224 Pt
3.3337 0.0000 9.1404 Sc
```

Calculated values
* SG: Amm2 (38)
* VASP energy: -42.32 eV per cell

The following is a PBE calculation of crystalline HoErSn2Os at its relaxed geometry, from the Open Quantum Materials Database.

Structure (POSCAR):
```
HoErSn2Os
1.0
5.4501 -2.2044 0.0000
5.4501 2.2044 0.0000
-4.6315 0.0000 9.9820
Er Ho Os Sn
2 2 2 4
Cartesian
-0.7699 0.0000 1.7031 Er
7.0386 0.0000 8.2789 Er
7.1572 0.0000 3.6893 Ho
-0.8885 0.0000 6.2927 Ho
2.2664 0.0000 1.7536 Os
4.0023 0.0000 8.2284 Os
6.9253 0.0000 0.4910 Sn
4.0346 0.0000 3.8502 Sn
2.2341 0.0000 6.1318 Sn
-0.6565 0.0000 9.4910 Sn
```

Calculated values
* SG: C2/m (12)
* VASP energy: -61.72 eV per cell